PBE HoTmAl2Pd4, optimized geometry; space-group type = P-6m2; E = -5.61 eV per atom
1.0
4.3499 0.0000 0.0000
-2.1749 3.7671 0.0000
0.0000 0.0000 9.0477
Ho Tm Al Pd
1 1 2 4
direct
0.0000 0.0000 0.0000
0.6667 0.3333 0.5000
0.3333 0.6667 0.2509
0.3333 0.6667 0.7491
0.0000 0.0000 0.3329
0.0000 0.0000 0.6671
0.6667 0.3333 0.1702
0.6667 0.3333 0.8298